(1)
ZnAsPbF: relaxed, PBE.

Properties
* space-group type: P4/nmm (129)
* calculated volume: 78.7 Å³/f.u.
* raw total energy: -25.8 eV per cell

a = 4.383 Å, b = 4.383 Å, c = 8.192 Å
α = 90.00°, β = 90.00°, γ = 90.00°
Fractional positions:
1 Zn 0.250 0.250 0.109
2 Zn 0.750 0.750 0.891
3 As 0.250 0.250 0.742
4 As 0.750 0.750 0.258
5 Pb 0.250 0.750 0.500
6 Pb 0.750 0.250 0.500
7 F 0.250 0.750 0.000
8 F 0.750 0.250 0.000

---

(2)
ZnAsPbF: relaxed, PBE.

Properties
* space-group type: P2_12_12_1 (19)
* calculated volume: 81.1 Å³/f.u.
* raw total energy: -60.2 eV per cell

a = 6.604 Å, b = 6.984 Å, c = 7.037 Å
α = 90.00°, β = 90.00°, γ = 90.00°
Fractional positions:
1 Zn 0.171 0.119 0.342
2 Zn 0.329 0.881 0.842
3 Zn 0.671 0.381 0.658
4 Zn 0.829 0.619 0.158
5 As 0.092 0.870 0.110
6 As 0.408 0.130 0.610
7 As 0.592 0.630 0.890
8 As 0.908 0.370 0.390
9 Pb 0.181 0.402 0.835
10 Pb 0.319 0.598 0.335
11 Pb 0.681 0.098 0.165
12 Pb 0.819 0.902 0.665
13 F 0.161 0.709 0.634
14 F 0.339 0.291 0.134
15 F 0.661 0.791 0.366
16 F 0.839 0.209 0.866

---

(3)
ZnAsPbF: relaxed, PBE.

Properties
* space-group type: R-3m (166)
* calculated volume: 81.0 Å³/f.u.
* raw total energy: -30.5 eV per cell

a = 11.003 Å, b = 11.003 Å, c = 11.003 Å
α = 21.87°, β = 21.87°, γ = 21.87°
Fractional positions:
1 Zn 0.195 0.195 0.195
2 Zn 0.805 0.805 0.805
3 As 0.114 0.114 0.114
4 As 0.886 0.886 0.886
5 Pb 0.388 0.388 0.388
6 Pb 0.612 0.612 0.612
7 F 0.306 0.306 0.306
8 F 0.694 0.694 0.694